Material: ReTc2Mo
Method: DFT, PBE-GGA
State: optimized geometry

Lattice parameters (Å, degrees): 3.095 3.095 6.306 90.00 90.00 90.00
Element x y z (fractional)
Re: 0.000 0.000 0.000
Tc: 0.500 0.500 0.256
Tc: 0.500 0.500 0.744
Mo: 0.000 0.000 0.500

## Properties
N(E_F) (states/eV/atom): 1.415
Relative energy among the computed polymorphs (kJ/mol of atoms): 8.7
Crystal system: tetragonal
Spin magnetization (μB per formula unit): 0.0